Density functional theory data (GGA-PBE) for a geometry-optimized ErZnNi5Ge2 structure.

Results
Magnetization in μB per formula unit: 0.0
Formation energy in eV per formula unit: -1.29
SG: P4/mmm (123)
Volume in Å³/cell: 132.5
Density of states at the Fermi level in states/eV/atom: 0.397

a b c (Å): 3.940 3.940 8.535
angles (deg): 90.00 90.00 90.00
Atoms (fractional coordinates):
Er  0.000  0.000  0.000
Zn  0.000  0.000  0.500
Ni  0.000  0.500  0.221
Ni  0.000  0.500  0.779
Ni  0.500  0.000  0.221
Ni  0.500  0.000  0.779
Ni  0.500  0.500  0.000
Ge  0.500  0.500  0.360
Ge  0.500  0.500  0.640